A plane-wave DFT calculation with PBE-GGA was carried out for NdGe3IrPt after structural relaxation.

## Properties
The volume is 22.51 Å³ per atom. The total energy comes out at -36.2 eV/f.u. As for the density of states at the Fermi level: 3.445 states/eV/f.u. For the mass density, the calculation gives 9.213 g cm⁻³.

Structure (CIF):
```
data_NdGe3IrPt
_cell_length_a 6.074
_cell_length_b 14.622
_cell_length_c 6.084
_cell_angle_alpha 90.00
_cell_angle_beta 90.00
_cell_angle_gamma 90.00
_space_group_name_H-M_alt 'C m c m'
_space_group_IT_number 63
_space_group_name_Hall '-C 2c 2'
loop_
_atom_site_label
_atom_site_fract_x
_atom_site_fract_y
_atom_site_fract_z
Nd1 0.000 0.183 0.250
Ge1 0.000 0.248 0.750
Ge2 0.246 0.000 0.000
Ir1 0.000 0.087 0.750
Pt1 0.000 0.412 0.750
```